1.
An optimized crystal structure of YFe2P. Source: Alexandria via LeMat-Bulk, functional PBE-GGA.

Cell lengths 3.939, 3.815, 4.739 Å; angles 90.00, 92.42, 90.00 degrees
Sites, in units of the cell vectors:
Y 0.000 0.000 0.000
Fe 0.481 0.500 0.758
Fe 0.519 0.500 0.242
P 0.500 0.000 0.500

## Properties
calculated volume: 71.16 Å³ per cell
formation enthalpy at 0 K: -0.23 eV per atom
E_tot: -29.72 eV/f.u.


2.
An optimized crystal structure of Ni2Pt2Rh15. Source: Alexandria via LeMat-Bulk, functional PBE-GGA.

Cell lengths 6.737, 6.737, 6.737 Å; angles 80.68, 80.68, 80.68 degrees
Sites, in units of the cell vectors:
Ni 0.088 0.088 0.088
Ni 0.912 0.912 0.912
Pt 0.282 0.282 0.282
Pt 0.718 0.718 0.718
Rh 0.000 0.000 0.500
Rh 0.000 0.303 0.697
Rh 0.000 0.500 0.000
Rh 0.000 0.697 0.303
Rh 0.154 0.642 0.642
Rh 0.303 0.000 0.697
Rh 0.303 0.697 0.000
Rh 0.358 0.358 0.846
Rh 0.358 0.846 0.358
Rh 0.500 0.000 0.000
Rh 0.642 0.154 0.642
Rh 0.642 0.642 0.154
Rh 0.697 0.000 0.303
Rh 0.697 0.303 0.000
Rh 0.846 0.358 0.358

## Properties
calculated volume: 294.84 Å³ per cell
formation enthalpy at 0 K: 0.40 eV per atom
E_tot: -126.27 eV/f.u.


3.
An optimized crystal structure of YErAu. Source: Alexandria via LeMat-Bulk, functional PBE-GGA.

Cell lengths 4.891, 4.891, 3.821 Å; angles 90.00, 90.00, 120.00 degrees
Sites, in units of the cell vectors:
Y 0.000 0.000 0.000
Er 0.667 0.333 0.526
Au 0.333 0.667 0.287

## Properties
calculated volume: 79.14 Å³ per cell
formation enthalpy at 0 K: -0.43 eV per atom
relative energy among the computed polymorphs: 148 meV per atom
E_tot: -15.58 eV/f.u.


4.
An optimized crystal structure of MnAg2Mo. Source: Alexandria via LeMat-Bulk, functional PBE-GGA.

Cell lengths 6.417, 6.417, 6.417 Å; angles 90.00, 90.00, 90.00 degrees
Sites, in units of the cell vectors:
Mn 0.000 0.000 0.000
Mn 0.000 0.500 0.500
Mn 0.500 0.000 0.500
Mn 0.500 0.500 0.000
Ag 0.000 0.000 0.500
Ag 0.000 0.500 0.000
Ag 0.250 0.250 0.250
Ag 0.250 0.750 0.750
Ag 0.500 0.000 0.000
Ag 0.500 0.500 0.500
Ag 0.750 0.250 0.750
Ag 0.750 0.750 0.250
Mo 0.250 0.250 0.750
Mo 0.250 0.750 0.250
Mo 0.750 0.250 0.250
Mo 0.750 0.750 0.750

## Properties
calculated volume: 264.29 Å³ per cell
formation enthalpy at 0 K: 0.57 eV per atom
relative energy among the computed polymorphs: 273 meV per atom
E_tot: -23.43 eV/f.u.


5.
An optimized crystal structure of RbAl2In2. Source: Alexandria via LeMat-Bulk, functional PBE-GGA.

Cell lengths 9.067, 9.067, 3.247 Å; angles 90.00, 90.00, 90.00 degrees
Sites, in units of the cell vectors:
Rb 0.000 0.000 0.000
Rb 0.500 0.500 0.000
Al 0.146 0.354 0.500
Al 0.354 0.854 0.500
Al 0.646 0.146 0.500
Al 0.854 0.646 0.500
In 0.140 0.640 0.000
In 0.360 0.140 0.000
In 0.640 0.860 0.000
In 0.860 0.360 0.000

## Properties
calculated volume: 266.93 Å³ per cell
formation enthalpy at 0 K: 0.15 eV per atom
relative energy among the computed polymorphs: 128 meV per atom
E_tot: -13.18 eV/f.u.


6.
An optimized crystal structure of VSbTe2S. Source: Alexandria via LeMat-Bulk, functional PBE-GGA.

Cell lengths 5.152, 5.152, 5.158 Å; angles 90.00, 90.00, 90.00 degrees
Sites, in units of the cell vectors:
V 0.000 0.000 0.000
Sb 0.500 0.500 0.000
Te 0.000 0.500 0.500
Te 0.500 0.000 0.500
S 0.500 0.500 0.500

## Properties
calculated volume: 136.90 Å³ per cell
relative energy among the computed polymorphs: 590 meV per atom
E_tot: -18.80 eV/f.u.